{
  "formula": "K3Bi8Au3",
  "functional": "GGA-PBE",
  "state": "relaxed",
  "spacegroup": "Immm, No. 71",
  "crystal_system": "orthorhombic",
  "final_energy_ev_per_cell": -46.35,
  "lattice": [[-0.616, 1.743, 4.850], [6.732, -4.983, 5.424], [7.628, 6.256, 1.497]],
  "species": ["K", "K", "K", "Bi", "Bi", "Bi", "Bi", "Bi", "Bi", "Bi", "Bi", "Au", "Au", "Au"],
  "fractional_positions": [[0.500, 0.500, 0.500], [0.838, 0.162, 0.162], [0.162, 0.838, 0.838], [0.611, 0.100, 0.677], [0.389, 0.900, 0.323], [0.611, 0.677, 0.100], [0.389, 0.323, 0.900], [0.825, 0.807, 0.543], [0.175, 0.193, 0.457], [0.825, 0.543, 0.807], [0.175, 0.457, 0.193], [0.500, 0.000, 0.000], [0.000, 0.755, 0.245], [0.000, 0.245, 0.755]]
}



{
  "formula": "HfAlAgBi2",
  "functional": "GGA-PBE",
  "state": "relaxed",
  "spacegroup": "P4/mmm, No. 123",
  "crystal_system": "tetragonal",
  "final_energy_ev_per_cell": -21.32,
  "lattice": [[5.600, 0.000, 0.000], [0.000, 5.332, 0.000], [0.000, 0.000, 5.600]],
  "species": ["Hf", "Bi", "Bi", "Ag", "Al"],
  "fractional_positions": [[0.000, 0.000, 0.000], [0.000, 0.000, 0.500], [0.500, 0.000, 0.000], [0.500, 0.500, 0.500], [0.000, 0.500, 0.000]]
}



Number 1: energy of formation -0.16 eV per atom, Fermi-level density of states 6.0 states/eV/cell. Number 2: energy of formation 0.60 eV per atom, Fermi-level density of states 3.0 states/eV/cell.